Entry 1:
Below is a relaxed structure of LiInCu2H, with properties calculated at the GGA-PBE level.

abc: 3.894 3.894 4.008
angles: 90.00 90.00 90.00
Positions (direct):
1 Li 0.000 0.000 0.000
2 In 0.500 0.500 0.000
3 Cu 0.000 0.500 0.500
4 Cu 0.500 0.000 0.500
5 H 0.000 0.000 0.500

Output
Fermi-level density of states: 0.25 states/eV/atom
VASP energy: -3.26 eV per atom



Entry 2:
Below is a relaxed structure of Mn2InCuH, with properties calculated at the GGA-PBE level.

abc: 3.889 3.889 3.998
angles: 90.00 90.00 90.00
Positions (direct):
1 Mn 0.000 0.500 0.000
2 Mn 0.500 0.000 0.000
3 In 0.000 0.000 0.500
4 Cu 0.500 0.500 0.500
5 H 0.500 0.500 0.000

Output
Fermi-level density of states: 0.55 states/eV/atom
VASP energy: -5.61 eV per atom



Entry 3:
Below is a relaxed structure of NbIn2CuH, with properties calculated at the GGA-PBE level.

abc: 5.561 5.561 3.440
angles: 90.00 90.00 90.00
Positions (direct):
1 Nb 0.000 0.000 0.000
2 In 0.000 0.500 0.000
3 In 0.500 0.000 0.000
4 Cu 0.500 0.500 0.500
5 H 0.000 0.000 0.500

Output
Fermi-level density of states: 0.59 states/eV/atom
VASP energy: -3.91 eV per atom



Entry 4:
Below is a relaxed structure of NbInCu2H, with properties calculated at the GGA-PBE level.

abc: 4.044 4.044 3.940
angles: 90.00 90.00 90.00
Positions (direct):
1 Nb 0.000 0.000 0.000
2 In 0.500 0.500 0.000
3 Cu 0.000 0.500 0.500
4 Cu 0.500 0.000 0.500
5 H 0.000 0.000 0.500

Output
Fermi-level density of states: 0.28 states/eV/atom
VASP energy: -4.84 eV per atom



Entry 5:
Below is a relaxed structure of InCu2NiH, with properties calculated at the GGA-PBE level.

abc: 3.883 3.883 3.815
angles: 90.00 90.00 90.00
Positions (direct):
1 In 0.000 0.000 0.000
2 Cu 0.000 0.500 0.500
3 Cu 0.500 0.000 0.500
4 Ni 0.500 0.500 0.000
5 H 0.500 0.500 0.500

Output
Fermi-level density of states: 0.25 states/eV/atom
VASP energy: -3.99 eV per atom



Entry 6:
Below is a relaxed structure of InCuHPb2, with properties calculated at the GGA-PBE level.

abc: 5.636 5.636 3.424
angles: 90.00 90.00 90.00
Positions (direct):
1 In 0.000 0.000 0.000
2 Cu 0.500 0.500 0.500
3 H 0.500 0.500 0.000
4 Pb 0.000 0.500 0.500
5 Pb 0.500 0.000 0.500

Output
Fermi-level density of states: 0.21 states/eV/atom
VASP energy: -3.32 eV per atom



Entry 7:
Below is a relaxed structure of InCu2HPd, with properties calculated at the GGA-PBE level.

abc: 3.955 3.955 3.940
angles: 90.00 90.00 90.00
Positions (direct):
1 In 0.000 0.000 0.000
2 Cu 0.000 0.500 0.500
3 Cu 0.500 0.000 0.500
4 H 0.500 0.500 0.500
5 Pd 0.500 0.500 0.000

Output
Fermi-level density of states: 0.14 states/eV/atom
ΔE to the lowest computed polymorph: 0.0 kJ/mol of atoms



Entry 8:
Below is a relaxed structure of InCu2HPd, with properties calculated at the GGA-PBE level.

abc: 3.808 3.808 4.418
angles: 90.00 90.00 90.00
Positions (direct):
1 In 0.000 0.000 0.000
2 Cu 0.000 0.500 0.500
3 Cu 0.500 0.000 0.500
4 H 0.000 0.000 0.500
5 Pd 0.500 0.500 0.000

Output
Fermi-level density of states: 0.19 states/eV/atom
ΔE to the lowest computed polymorph: 8.0 kJ/mol of atoms



Entry 9:
Below is a relaxed structure of RbInCu2H, with properties calculated at the GGA-PBE level.

abc: 4.909 4.909 7.878
angles: 90.00 90.00 90.00
Positions (direct):
1 Rb 0.000 0.000 0.000
2 In 0.000 0.000 0.500
3 Cu 0.000 0.500 0.500
4 Cu 0.500 0.000 0.500
5 H 0.500 0.500 0.000

Output
Fermi-level density of states: 0.43 states/eV/atom
VASP energy: -2.30 eV per atom



Entry 10:
Below is a relaxed structure of Rb2InCuH6, with properties calculated at the GGA-PBE level.

abc: 5.745 5.736 5.701
angles: 60.31 60.14 59.55
Positions (direct):
1 Rb 0.250 0.250 0.250
2 Rb 0.750 0.750 0.750
3 In 0.000 0.000 0.000
4 Cu 0.500 0.500 0.500
5 H 0.261 0.261 0.739
6 H 0.269 0.731 0.269
7 H 0.272 0.728 0.728
8 H 0.728 0.272 0.272
9 H 0.731 0.269 0.731
10 H 0.739 0.739 0.261

Output
Fermi-level density of states: 0.06 states/eV/atom
VASP energy: -2.86 eV per atom



Entry 11:
Below is a relaxed structure of InCu2HRh, with properties calculated at the GGA-PBE level.

abc: 3.980 3.980 3.860
angles: 90.00 90.00 90.00
Positions (direct):
1 In 0.000 0.000 0.000
2 Cu 0.000 0.500 0.500
3 Cu 0.500 0.000 0.500
4 H 0.500 0.500 0.500
5 Rh 0.500 0.500 0.000

Output
Fermi-level density of states: 0.42 states/eV/atom
VASP energy: -4.43 eV per atom



Entry 12:
Below is a relaxed structure of InCuHRh2, with properties calculated at the GGA-PBE level.

abc: 4.095 4.095 3.744
angles: 90.00 90.00 90.00
Positions (direct):
1 In 0.000 0.000 0.000
2 Cu 0.500 0.500 0.000
3 H 0.500 0.500 0.500
4 Rh 0.000 0.500 0.500
5 Rh 0.500 0.000 0.500

Output
Fermi-level density of states: 0.61 states/eV/atom
ΔE to the lowest computed polymorph: 0.0 kJ/mol of atoms



Entry 13:
Below is a relaxed structure of In2CuHRh, with properties calculated at the GGA-PBE level.

abc: 4.967 4.967 4.672
angles: 90.00 90.00 90.00
Positions (direct):
1 In 0.000 0.500 0.000
2 In 0.500 0.000 0.000
3 Cu 0.000 0.000 0.000
4 H 0.500 0.500 0.500
5 Rh 0.000 0.000 0.500

Output
Fermi-level density of states: 0.91 states/eV/atom
VASP energy: -3.08 eV per atom



Entry 14:
Below is a relaxed structure of InCuHRh2, with properties calculated at the GGA-PBE level.

abc: 3.934 3.934 4.148
angles: 90.00 90.00 90.00
Positions (direct):
1 In 0.000 0.000 0.000
2 Cu 0.500 0.500 0.000
3 H 0.000 0.000 0.500
4 Rh 0.000 0.500 0.500
5 Rh 0.500 0.000 0.500

Output
Fermi-level density of states: 0.81 states/eV/atom
ΔE to the lowest computed polymorph: 20.8 kJ/mol of atoms



Entry 15:
Below is a relaxed structure of InCuH2Rh, with properties calculated at the GGA-PBE level.

abc: 3.560 3.560 5.362
angles: 90.00 90.00 90.00
Positions (direct):
1 In 0.000 0.000 0.000
2 Cu 0.500 0.500 0.000
3 H 0.000 0.500 0.500
4 H 0.500 0.000 0.500
5 Rh 0.000 0.000 0.500

Output
Fermi-level density of states: 0.32 states/eV/atom
VASP energy: -3.83 eV per atom



Entry 16:
Below is a relaxed structure of InCuHRu2, with properties calculated at the GGA-PBE level.

abc: 4.008 4.008 3.922
angles: 90.00 90.00 90.00
Positions (direct):
1 In 0.000 0.000 0.000
2 Cu 0.500 0.500 0.000
3 H 0.500 0.500 0.500
4 Ru 0.000 0.500 0.500
5 Ru 0.500 0.000 0.500

Output
Fermi-level density of states: 1.24 states/eV/atom
VASP energy: -5.54 eV per atom



Entry 17:
Below is a relaxed structure of InCuHS2, with properties calculated at the GGA-PBE level.

abc: 5.042 5.042 5.126
angles: 90.00 90.00 90.00
Positions (direct):
1 In 0.000 0.000 0.000
2 Cu 0.000 0.000 0.500
3 H 0.500 0.500 0.500
4 S 0.000 0.500 0.000
5 S 0.500 0.000 0.000

Output
Fermi-level density of states: 0.60 states/eV/atom
VASP energy: -2.63 eV per atom



Entry 18:
Below is a relaxed structure of In2CuHS4, with properties calculated at the GGA-PBE level.

abc: 8.066 6.739 6.565
angles: 90.00 90.00 90.00
Positions (direct):
1 In 0.235 0.157 0.000
2 In 0.265 0.843 0.500
3 In 0.735 0.843 0.500
4 In 0.765 0.157 0.000
5 Cu 0.000 0.667 0.965
6 Cu 0.500 0.333 0.465
7 H 0.000 0.503 0.418
8 H 0.500 0.497 0.918
9 S 0.000 0.346 0.851
10 S 0.000 0.686 0.331
11 S 0.249 0.191 0.376
12 S 0.251 0.809 0.876
13 S 0.500 0.314 0.831
14 S 0.500 0.654 0.351
15 S 0.749 0.809 0.876
16 S 0.751 0.191 0.376

Output
VASP energy: -4.09 eV per atom



Entry 19:
Below is a relaxed structure of InCuSn2H, with properties calculated at the GGA-PBE level.

abc: 5.464 5.464 3.364
angles: 90.00 90.00 90.00
Positions (direct):
1 In 0.000 0.000 0.000
2 Cu 0.500 0.500 0.500
3 Sn 0.000 0.500 0.500
4 Sn 0.500 0.000 0.500
5 H 0.500 0.500 0.000

Output
Fermi-level density of states: 0.28 states/eV/atom
VASP energy: -3.48 eV per atom



Entry 20:
Below is a relaxed structure of Sr2InCuH, with properties calculated at the GGA-PBE level.

abc: 5.569 5.569 3.880
angles: 90.00 90.00 90.00
Positions (direct):
1 Sr 0.000 0.500 0.000
2 Sr 0.500 0.000 0.000
3 In 0.000 0.000 0.500
4 Cu 0.500 0.500 0.500
5 H 0.500 0.500 0.000

Output
Fermi-level density of states: 0.43 states/eV/atom
VASP energy: -2.94 eV per atom



Entry 21:
Below is a relaxed structure of Ta2InCuH, with properties calculated at the GGA-PBE level.

abc: 4.004 4.004 4.494
angles: 90.00 90.00 90.00
Positions (direct):
1 Ta 0.000 0.500 0.000
2 Ta 0.500 0.000 0.000
3 In 0.000 0.000 0.500
4 Cu 0.500 0.500 0.500
5 H 0.500 0.500 0.000

Output
Fermi-level density of states: 0.20 states/eV/atom
VASP energy: -6.70 eV per atom



Entry 22:
Below is a relaxed structure of InCuTcH2, with properties calculated at the GGA-PBE level.

abc: 3.700 3.700 5.512
angles: 90.00 90.00 90.00
Positions (direct):
1 In 0.000 0.000 0.000
2 Cu 0.000 0.000 0.500
3 Tc 0.500 0.500 0.000
4 H 0.000 0.500 0.500
5 H 0.500 0.000 0.500

Output
Fermi-level density of states: 0.34 states/eV/atom
VASP energy: -3.80 eV per atom



Entry 23:
Below is a relaxed structure of ZnIn2CuH, with properties calculated at the GGA-PBE level.

abc: 5.244 5.244 4.574
angles: 90.00 90.00 90.00
Positions (direct):
1 Zn 0.000 0.000 0.000
2 In 0.000 0.500 0.000
3 In 0.500 0.000 0.000
4 Cu 0.000 0.000 0.500
5 H 0.500 0.500 0.500

Output
Fermi-level density of states: 0.33 states/eV/atom
VASP energy: -2.10 eV per atom



Entry 24:
Below is a relaxed structure of ZrIn2CuH, with properties calculated at the GGA-PBE level.

abc: 5.100 5.100 3.442
angles: 90.00 90.00 90.00
Positions (direct):
1 Zr 0.000 0.000 0.000
2 In 0.000 0.500 0.500
3 In 0.500 0.000 0.500
4 Cu 0.500 0.500 0.000
5 H 0.500 0.500 0.500

Output
Fermi-level density of states: 0.70 states/eV/atom
VASP energy: -4.22 eV per atom



Entry 25:
Below is a relaxed structure of Zr2In2CuH, with properties calculated at the GGA-PBE level.

abc: 7.416 7.416 7.416
angles: 127.25 72.15 134.53
Positions (direct):
1 Zr 0.080 0.181 0.262
2 Zr 0.420 0.681 0.101
3 Zr 0.580 0.319 0.899
4 Zr 0.920 0.819 0.738
5 In 0.168 0.701 0.870
6 In 0.332 0.201 0.533
7 In 0.668 0.799 0.467
8 In 0.832 0.299 0.130
9 Cu 0.250 0.750 0.500
10 Cu 0.750 0.250 0.500
11 H 0.250 0.250 0.000
12 H 0.750 0.750 0.000

Output
Fermi-level density of states: 0.67 states/eV/atom
VASP energy: -5.15 eV per atom



Entry 26:
Below is a relaxed structure of Cu3H6Ir, with properties calculated at the GGA-PBE level.

abc: 4.276 4.947 8.231
angles: 90.00 114.67 90.00
Positions (direct):
1 Cu 0.000 0.000 0.000
2 Cu 0.000 0.500 0.500
3 Cu 0.168 0.131 0.732
4 Cu 0.168 0.369 0.232
5 Cu 0.832 0.631 0.768
6 Cu 0.832 0.869 0.268
7 H 0.151 0.217 0.424
8 H 0.151 0.283 0.924
9 H 0.239 0.717 0.411
10 H 0.239 0.783 0.911
11 H 0.499 0.043 0.293
12 H 0.499 0.457 0.793
13 H 0.501 0.543 0.207
14 H 0.501 0.957 0.707
15 H 0.761 0.217 0.089
16 H 0.761 0.283 0.589
17 H 0.849 0.717 0.076
18 H 0.849 0.783 0.576
19 Ir 0.500 0.000 0.500
20 Ir 0.500 0.500 0.000

Output
Fermi-level density of states: 0.07 states/eV/atom
VASP energy: -4.00 eV per atom